A geometry-optimized OsPbW2 structure. Source: Alexandria, functional PBE-GGA.

The structure in POSCAR format:
```
OsPbW2
1.0
4.830 -1.542 0.000
4.830 1.542 0.000
-1.042 0.000 4.759
Os Pb W
1 1 2
direct
0.000 0.000 0.000
0.500 0.500 0.500
0.262 0.262 0.791
0.738 0.738 0.209
```

## Properties
- Formation enthalpy at 0 K: 0.7442 eV/atom
- Uncorrected energy: -9.467 eV/atom



A geometry-optimized OsPbW2 structure. Source: Alexandria, functional PBE-GGA.

The structure in POSCAR format:
```
OsPbW2
1.0
1.466 0.846 9.724
-1.466 0.846 9.724
0.000 -1.692 9.724
Os Pb W
1 1 2
direct
0.000 0.000 0.000
0.759 0.759 0.759
0.263 0.263 0.263
0.516 0.516 0.516
```

## Properties
- Formation enthalpy at 0 K: 0.6995 eV/atom
- Uncorrected energy: -9.512 eV/atom



A geometry-optimized OsPbW2 structure. Source: Alexandria, functional PBE-GGA.

The structure in POSCAR format:
```
OsPbW2
1.0
2.747 -4.257 0.000
2.747 4.257 0.000
0.000 0.000 2.962
Os Pb W
1 1 2
direct
0.000 0.000 0.000
0.500 0.500 0.000
0.000 0.500 0.500
0.500 0.000 0.500
```

## Properties
- Formation enthalpy at 0 K: 0.9402 eV/atom
- Uncorrected energy: -9.271 eV/atom



A geometry-optimized Os2PbW structure. Source: Alexandria, functional PBE-GGA.

The structure in POSCAR format:
```
Os2PbW
1.0
4.619 -1.493 0.000
4.619 1.493 0.000
-0.938 0.000 5.040
Os Pb W
2 1 1
direct
0.235 0.235 0.206
0.765 0.765 0.794
0.000 0.000 0.500
0.500 0.500 0.000
```

## Properties
- Formation enthalpy at 0 K: 0.7724 eV/atom
- Uncorrected energy: -9.008 eV/atom



A geometry-optimized Os2PbW structure. Source: Alexandria, functional PBE-GGA.

The structure in POSCAR format:
```
Os2PbW
1.0
1.471 -2.457 0.000
1.471 2.457 0.000
0.000 0.000 9.903
Os Pb W
2 1 1
direct
0.000 0.000 0.000
0.500 0.500 0.221
0.000 0.000 0.493
0.500 0.500 0.778
```

## Properties
- Formation enthalpy at 0 K: 1.0625 eV/atom
- Uncorrected energy: -8.718 eV/atom



A geometry-optimized Os2PbW structure. Source: Alexandria, functional PBE-GGA.

The structure in POSCAR format:
```
Os2PbW
1.0
-1.585 2.281 4.730
1.585 -2.281 4.730
1.585 2.281 -4.730
Os Pb W
2 1 1
direct
0.000 0.000 0.000
0.720 0.220 0.500
0.242 0.742 0.500
0.493 0.493 0.000
```

## Properties
- Formation enthalpy at 0 K: 0.9661 eV/atom
- Uncorrected energy: -8.814 eV/atom